Entry from Alexandria via LeMat-Bulk: crystalline CsCrIn2Cl6 at its relaxed geometry (PBE).

Calculated values
Crystal system ... monoclinic
Energy relative to the elements, uncorrected ... -1.18 eV/atom

Cell lengths 7.068, 8.924, 9.944 Å; angles 90.00, 89.37, 90.00 degrees
Fractional coordinates of all 20 atoms:
Cl: 0.790 0.862 0.502
Cl: 0.375 0.835 0.337
Cl: 0.874 0.655 0.173
Cl: 0.210 0.138 0.498
Cl: 0.374 0.845 0.673
Cl: 0.626 0.155 0.327
Cl: 0.875 0.665 0.837
Cl: 0.290 0.638 0.002
Cl: 0.625 0.165 0.663
Cl: 0.126 0.345 0.827
Cl: 0.710 0.362 0.998
Cl: 0.125 0.335 0.163
Cr: 0.000 0.500 0.000
Cr: 0.500 0.000 0.500
In: 0.003 0.994 0.264
In: 0.503 0.506 0.764
In: 0.997 0.006 0.736
In: 0.497 0.494 0.236
Cs: 0.000 0.500 0.500
Cs: 0.500 0.000 0.000

---

Entry from Alexandria via LeMat-Bulk: crystalline CuTeBr at its relaxed geometry (PBE).

Calculated values
Crystal system ... orthorhombic
Fermi-level density of states ... 3.65 states/eV/f.u.
Energy relative to the elements, uncorrected ... -0.06 eV/atom

Cell lengths 3.543, 3.300, 7.075 Å; angles 90.00, 90.00, 90.00 degrees
Fractional coordinates of all 3 atoms:
Br: 0.500 0.000 0.999
Te: 0.000 0.500 0.489
Cu: 0.500 0.500 0.751

---

Entry from Alexandria via LeMat-Bulk: crystalline Ca2Ga5Ag4 at its relaxed geometry (PBE).

Calculated values
Crystal system ... orthorhombic
Electronic total energy ... -3.011 eV per atom
Fermi-level density of states ... 4.35 states/eV/f.u.

Cell lengths 5.551, 6.908, 6.908 Å; angles 79.41, 66.31, 66.31 degrees
Fractional coordinates of all 11 atoms:
Ga: 0.752 0.829 0.171
Ga: 0.248 0.171 0.829
Ga: 0.000 0.500 0.500
Ga: 0.248 0.829 0.171
Ga: 0.752 0.171 0.829
Ag: 0.758 0.574 0.909
Ag: 0.758 0.909 0.574
Ag: 0.242 0.091 0.426
Ag: 0.242 0.426 0.091
Ca: 0.288 0.712 0.712
Ca: 0.712 0.288 0.288

---

Entry from Alexandria via LeMat-Bulk: crystalline Cu3Mo at its relaxed geometry (PBE).

Calculated values
Crystal system ... hexagonal
Electronic total energy ... -5.575 eV per atom
Fermi-level density of states ... 3.24 states/eV/f.u.

Cell lengths 2.653, 2.653, 8.668 Å; angles 90.00, 90.00, 120.00 degrees
Fractional coordinates of all 4 atoms:
Cu: 0.000 0.000 0.011
Cu: 0.000 0.000 0.489
Cu: 0.333 0.667 0.250
Mo: 0.333 0.667 0.750

---

Entry from Alexandria via LeMat-Bulk: crystalline PmTmAl at its relaxed geometry (PBE).

Calculated values
Crystal system ... tetragonal
Energy relative to the lowest polymorph listed for this composition ... 0.000 eV per atom
Fermi-level density of states ... 1.98 states/eV/f.u.

Cell lengths 3.465, 3.465, 7.183 Å; angles 103.96, 103.96, 90.00 degrees
Fractional coordinates of all 3 atoms:
Tm: 0.262 0.262 0.525
Pm: 0.966 0.966 0.933
Al: 0.621 0.621 0.242

---

Entry from Alexandria via LeMat-Bulk: crystalline Ba2GaSn4 at its relaxed geometry (PBE).

Calculated values
Crystal system ... monoclinic
Energy relative to the lowest polymorph listed for this composition ... 0.000 eV per atom
Fermi-level density of states ... 2.79 states/eV/f.u.

Cell lengths 7.083, 7.922, 9.622 Å; angles 90.00, 115.47, 90.00 degrees
Fractional coordinates of all 14 atoms:
Sn: 0.277 0.750 0.084
Sn: 0.324 0.060 0.723
Sn: 0.756 0.750 0.570
Sn: 0.324 0.440 0.723
Sn: 0.676 0.560 0.277
Sn: 0.723 0.250 0.916
Sn: 0.244 0.250 0.430
Sn: 0.676 0.940 0.277
Ba: 0.720 0.750 0.938
Ba: 0.791 0.250 0.580
Ba: 0.280 0.250 0.062
Ba: 0.209 0.750 0.420
Ga: 0.173 0.750 0.774
Ga: 0.827 0.250 0.226

---

Entry from Alexandria via LeMat-Bulk: crystalline Cu3HgI at its relaxed geometry (PBE).

Calculated values
Crystal system ... cubic
Energy relative to the lowest polymorph listed for this composition ... 0.000 eV per atom
Fermi-level density of states ... 3.27 states/eV/f.u.
Energy relative to the elements, uncorrected ... 0.78 eV/atom

Cell lengths 4.958, 4.958, 4.958 Å; angles 90.00, 90.00, 90.00 degrees
Fractional coordinates of all 5 atoms:
Cu: 0.500 0.000 0.000
Cu: 0.000 0.000 0.500
Cu: 0.000 0.500 0.000
I: 0.500 0.500 0.500
Hg: 0.000 0.000 0.000

---

Entry from Alexandria via LeMat-Bulk: crystalline Li2CoH3 at its relaxed geometry (PBE).

Calculated values
Crystal system ... monoclinic
Electronic total energy ... -3.776 eV per atom
Fermi-level density of states ... 0.66 states/eV/f.u.

Cell lengths 3.646, 5.344, 4.727 Å; angles 105.68, 112.69, 90.00 degrees
Fractional coordinates of all 12 atoms:
Co: 0.000 0.250 0.000
Co: 0.000 0.750 0.000
Li: 0.338 0.921 0.676
Li: 0.662 0.579 0.324
Li: 0.662 0.079 0.324
Li: 0.338 0.421 0.676
H: 0.873 0.939 0.746
H: 0.500 0.750 0.000
H: 0.127 0.561 0.254
H: 0.500 0.250 0.000
H: 0.127 0.061 0.254
H: 0.873 0.439 0.746

---

Entry from Alexandria via LeMat-Bulk: crystalline Ca3GeCl2O4 at its relaxed geometry (PBE).

Calculated values
Crystal system ... orthorhombic
Fermi-level density of states ... 0.00 states/eV/f.u.
Energy relative to the elements, uncorrected ... -2.53 eV/atom

Cell lengths 5.596, 10.329, 12.626 Å; angles 90.00, 90.00, 90.00 degrees
Fractional coordinates of all 40 atoms:
Cl: 0.748 0.079 0.953
Cl: 0.248 0.921 0.547
Cl: 0.752 0.079 0.453
Cl: 0.748 0.421 0.953
Cl: 0.252 0.921 0.047
Cl: 0.752 0.421 0.453
Cl: 0.248 0.579 0.547
Cl: 0.252 0.579 0.047
O: 0.246 0.385 0.791
O: 0.686 0.250 0.198
O: 0.300 0.250 0.600
O: 0.800 0.750 0.900
O: 0.254 0.385 0.291
O: 0.746 0.615 0.709
O: 0.754 0.615 0.209
O: 0.314 0.750 0.802
O: 0.700 0.750 0.400
O: 0.754 0.885 0.209
O: 0.200 0.250 0.100
O: 0.186 0.750 0.302
O: 0.814 0.250 0.698
O: 0.254 0.115 0.291
O: 0.746 0.885 0.709
O: 0.246 0.115 0.791
Ge: 0.122 0.250 0.719
Ge: 0.878 0.750 0.281
Ge: 0.378 0.250 0.219
Ge: 0.622 0.750 0.781
Ca: 0.065 0.579 0.840
Ca: 0.065 0.921 0.840
Ca: 0.435 0.579 0.340
Ca: 0.935 0.079 0.160
Ca: 0.935 0.421 0.160
Ca: 0.870 0.750 0.563
Ca: 0.370 0.250 0.937
Ca: 0.630 0.750 0.063
Ca: 0.565 0.079 0.660
Ca: 0.435 0.921 0.340
Ca: 0.565 0.421 0.660
Ca: 0.130 0.250 0.437

---

Entry from Alexandria via LeMat-Bulk: crystalline Cd5GaHg2 at its relaxed geometry (PBE).

Calculated values
Crystal system ... orthorhombic
Electronic total energy ... -0.959 eV per atom
Fermi-level density of states ... 2.44 states/eV/f.u.

Cell lengths 3.026, 9.420, 14.546 Å; angles 90.00, 90.00, 99.24 degrees
Fractional coordinates of all 16 atoms:
Hg: 0.107 0.214 0.869
Hg: 0.893 0.786 0.131
Hg: 0.893 0.786 0.369
Hg: 0.107 0.214 0.631
Ga: 0.120 0.240 0.250
Ga: 0.880 0.760 0.750
Cd: 0.951 0.901 0.579
Cd: 0.762 0.523 0.250
Cd: 0.049 0.099 0.421
Cd: 0.211 0.423 0.426
Cd: 0.049 0.099 0.079
Cd: 0.211 0.423 0.074
Cd: 0.789 0.577 0.574
Cd: 0.789 0.577 0.926
Cd: 0.951 0.901 0.921
Cd: 0.238 0.477 0.750

---

Entry from Alexandria via LeMat-Bulk: crystalline MgSc2Te3 at its relaxed geometry (PBE).

Calculated values
Crystal system ... trigonal
Fermi-level density of states ... 3.61 states/eV/f.u.
Energy relative to the elements, uncorrected ... -1.02 eV/atom

Cell lengths 7.429, 7.429, 7.890 Å; angles 61.91, 61.91, 60.00 degrees
Fractional coordinates of all 12 atoms:
Te: 0.250 0.918 0.250
Te: 0.582 0.250 0.250
Te: 0.750 0.082 0.750
Te: 0.918 0.582 0.250
Te: 0.418 0.750 0.750
Te: 0.082 0.418 0.750
Mg: 0.000 0.000 0.000
Mg: 0.500 0.500 0.500
Sc: 0.167 0.167 0.498
Sc: 0.667 0.667 0.998
Sc: 0.833 0.833 0.502
Sc: 0.333 0.333 0.002

---

| no. | total moment (μB/cell) |
| --- | --- |
| 1 | 5.99 |
| 2 | 0.00 |
| 3 | 0.00 |
| 4 | 0.00 |
| 5 | 0.00 |
| 6 | 0.00 |
| 7 | 0.00 |
| 8 | 0.00 |
| 9 | 0.00 |
| 10 | 0.00 |
| 11 | 0.00 |